The following is a DFT calculation (GGA-PBE) of a geometry-optimized CeZn2Ge structure.

Structure (CIF):
```
data_CeZn2Ge
_cell_length_a 3.970
_cell_length_b 4.589
_cell_length_c 4.832
_cell_angle_alpha 90.00
_cell_angle_beta 92.47
_cell_angle_gamma 90.00
_space_group_name_H-M_alt 'P 1 2/m 1'
_space_group_IT_number 10
loop_
_space_group_symop_operation_xyz
'x,y,z'
'-x,-y,-z'
'-x,y,-z'
'x,-y,z'
loop_
_atom_site_label
_atom_site_type_symbol
_atom_site_fract_x
_atom_site_fract_y
_atom_site_fract_z
_atom_site_occupancy
Ce1 Ce 0.000 0.000 0.000 1
Zn1 Zn 0.422 0.500 0.750 1
Ge1 Ge 0.500 0.000 0.500 1
```

Energy of formation ... -198.8 meV per atom
Electronic total energy ... -3.474 eV/atom
Magnetic moment ... 0.208 μB per atom